Version i
The following is a DFT calculation (PBE-GGA) of a relaxed structure of PmPr6Nd2.

Lattice parameters (Å, degrees): 3.537 10.430 10.448 119.94 99.74 90.00
Fractional coordinates of all 9 atoms:
Pr 0.834 0.647 0.667
Pr 0.166 0.353 0.333
Pr 0.834 0.020 0.667
Pr 0.166 0.980 0.333
Pr 0.500 0.312 0.000
Pr 0.500 0.688 0.000
Nd 0.334 0.333 0.667
Nd 0.666 0.667 0.333
Pm 0.000 0.000 0.000

Output
D(E_F): 17.815 states/eV/f.u.
Space group: Immm

Version ii
The following is a DFT calculation (PBE-GGA) of a relaxed structure of PmPr6Nd2.

Lattice parameters (Å, degrees): 8.360 8.360 10.700 90.00 90.00 90.00
Fractional coordinates of all 18 atoms:
Pr 0.737 0.737 0.333
Pr 0.237 0.763 0.167
Pr 0.237 0.763 0.833
Pr 0.763 0.237 0.833
Pr 0.238 0.762 0.500
Pr 0.762 0.238 0.500
Pr 0.737 0.737 0.667
Pr 0.263 0.263 0.333
Pr 0.262 0.262 0.000
Pr 0.763 0.237 0.167
Pr 0.738 0.738 0.000
Pr 0.263 0.263 0.667
Nd 0.500 0.500 0.834
Nd 0.000 0.000 0.666
Nd 0.500 0.500 0.166
Nd 0.000 0.000 0.334
Pm 0.500 0.500 0.500
Pm 0.000 0.000 0.000

Output
D(E_F): 13.972 states/eV/f.u.
Space group: P4_2/mnm

In terms of stability, version i leads; the second structure lies 39.8 kJ/mol of atoms higher.